[1]
Entry from Alexandria via LeMat-Bulk: Li2GaTe after structural relaxation (GGA-PBEsol).

Values from the calculation:
The calculation puts the energy relative to the elements, uncorrected at -0.34 eV/atom. For the energy above the most stable polymorph in this dataset, the calculation gives 0.098 eV per atom.

Structure (CIF):
```
data_Li2GaTe
_cell_length_a 4.483
_cell_length_b 4.483
_cell_length_c 17.745
_cell_angle_alpha 90.00
_cell_angle_beta 90.00
_cell_angle_gamma 90.00
_space_group_name_H-M_alt 'I -4 2 d'
_space_group_IT_number 122
_space_group_name_Hall 'I -4 2bw'
loop_
_atom_site_label
_atom_site_type_symbol
_atom_site_fract_x
_atom_site_fract_y
_atom_site_fract_z
_atom_site_occupancy
Li1 Li 0.245 0.250 0.125 1
Ga1 Ga 0.000 0.000 0.500 1
Te1 Te 0.000 0.000 0.000 1
```

[2]
Entry from Alexandria via LeMat-Bulk: LiGaTe3 after structural relaxation (GGA-PBEsol).

Values from the calculation:
The calculation puts the energy relative to the elements, uncorrected at 0.09 eV/atom. For the energy above the most stable polymorph in this dataset, the calculation gives 0.000 eV per atom.

Structure (CIF):
```
data_LiGaTe3
_cell_length_a 5.380
_cell_length_b 5.380
_cell_length_c 5.380
_cell_angle_alpha 90.00
_cell_angle_beta 90.00
_cell_angle_gamma 90.00
_space_group_name_H-M_alt 'P m -3 m'
_space_group_IT_number 221
_space_group_name_Hall '-P 4 2 3'
loop_
_atom_site_label
_atom_site_type_symbol
_atom_site_fract_x
_atom_site_fract_y
_atom_site_fract_z
_atom_site_occupancy
Li1 Li 0.000 0.000 0.000 1
Ga1 Ga 0.500 0.500 0.500 1
Te1 Te 0.000 0.500 0.500 1
```

[3]
Entry from Alexandria via LeMat-Bulk: Li2GaTe2 after structural relaxation (GGA-PBEsol).

Values from the calculation:
The calculation puts the energy relative to the elements, uncorrected at -0.52 eV/atom.

Structure (CIF):
```
data_Li2GaTe2
_cell_length_a 8.354
_cell_length_b 8.354
_cell_length_c 3.202
_cell_angle_alpha 90.00
_cell_angle_beta 90.00
_cell_angle_gamma 90.00
_space_group_name_H-M_alt 'P 4/m b m'
_space_group_IT_number 127
_space_group_name_Hall '-P 4 2ab'
loop_
_atom_site_label
_atom_site_type_symbol
_atom_site_fract_x
_atom_site_fract_y
_atom_site_fract_z
_atom_site_occupancy
Li1 Li 0.127 0.373 0.000 1
Ga1 Ga 0.000 0.000 0.500 1
Te1 Te 0.172 0.672 0.500 1
```

[4]
Entry from Alexandria via LeMat-Bulk: LiGaTe2 after structural relaxation (GGA-PBEsol).

Values from the calculation:
The calculation puts the energy relative to the elements, uncorrected at -0.58 eV/atom.

Structure (CIF):
```
data_LiGaTe2
_cell_length_a 6.314
_cell_length_b 6.314
_cell_length_c 11.765
_cell_angle_alpha 90.00
_cell_angle_beta 90.00
_cell_angle_gamma 90.00
_space_group_name_H-M_alt 'I -4 2 d'
_space_group_IT_number 122
_space_group_name_Hall 'I -4 2bw'
loop_
_atom_site_label
_atom_site_type_symbol
_atom_site_fract_x
_atom_site_fract_y
_atom_site_fract_z
_atom_site_occupancy
Li1 Li 0.000 0.000 0.000 1
Ga1 Ga 0.000 0.000 0.500 1
Te1 Te 0.236 0.250 0.625 1
```

[5]
Entry from Alexandria via LeMat-Bulk: Li2TiGa after structural relaxation (GGA-PBEsol).

Values from the calculation:
The calculation puts the energy of formation at 0.28 eV per atom.

Structure (CIF):
```
data_Li2TiGa
_cell_length_a 7.066
_cell_length_b 7.066
_cell_length_c 5.267
_cell_angle_alpha 90.00
_cell_angle_beta 90.00
_cell_angle_gamma 90.00
_space_group_name_H-M_alt 'I -4 2 d'
_space_group_IT_number 122
_space_group_name_Hall 'I -4 2bw'
loop_
_atom_site_label
_atom_site_type_symbol
_atom_site_fract_x
_atom_site_fract_y
_atom_site_fract_z
_atom_site_occupancy
Li1 Li 0.226 0.250 0.125 1
Ti1 Ti 0.000 0.000 0.500 1
Ga1 Ga 0.000 0.000 0.000 1
```

[6]
Entry from Alexandria via LeMat-Bulk: LiTlGa2 after structural relaxation (GGA-PBEsol).

Values from the calculation:
The calculation puts the energy of formation at -0.01 eV per atom.

Structure (CIF):
```
data_LiTlGa2
_cell_length_a 6.871
_cell_length_b 6.871
_cell_length_c 6.871
_cell_angle_alpha 90.00
_cell_angle_beta 90.00
_cell_angle_gamma 90.00
_space_group_name_H-M_alt 'F m -3 m'
_space_group_IT_number 225
_space_group_name_Hall '-F 4 2 3'
loop_
_atom_site_label
_atom_site_type_symbol
_atom_site_fract_x
_atom_site_fract_y
_atom_site_fract_z
_atom_site_occupancy
Li1 Li 0.000 0.000 0.000 1
Tl1 Tl 0.000 0.000 0.500 1
Ga1 Ga 0.250 0.250 0.250 1
```

Number 1: VASP energy -48.6 eV/cell, density 3.9 g/cm³. Number 2: VASP energy -15.4 eV/cell, density 4.9 g/cm³. Number 3: VASP energy -33.8 eV/cell, density 5.0 g/cm³. Number 4: VASP energy -58.7 eV/cell, density 4.7 g/cm³. Number 5: VASP energy -57.9 eV/cell, density 3.3 g/cm³. Number 6: VASP energy -45.2 eV/cell, density 7.2 g/cm³.